[1]
{"formula": "RuC4", "functional": "PBE-GGA", "state": "relaxed", "cell": [[-1.833, 1.833, 2.794], [1.833, -1.833, 2.794], [1.833, 1.833, -2.794]], "species": ["Ru", "C", "C", "C", "C"], "frac_coords": [[0.000, 0.000, 0.000], [0.250, 0.750, 0.500], [0.634, 0.634, 0.000], [0.366, 0.366, 0.000], [0.750, 0.250, 0.500]], "vol_a3_per_fu": 38, "polymorph_energy_ev_per_atom": 1.714, "delta_e_f_ev_per_atom": 2.4397, "dft_energy_ev_per_atom": -6.795, "n_ef_per_ev_cell": 1.8, "space_group": "I4/mmm (139)", "total_magnetization_mub_per_fu": 0.0}

=====

[2]
{"formula": "Ru2C", "functional": "PBE-GGA", "state": "relaxed", "cell": [[3.969, 0.000, 0.000], [0.000, 5.392, 0.000], [0.000, 0.000, 6.404]], "species": ["Ru", "Ru", "Ru", "Ru", "Ru", "Ru", "Ru", "Ru", "C", "C", "C", "C"], "frac_coords": [[0.750, 0.880, 0.602], [0.750, 0.966, 0.147], [0.250, 0.534, 0.647], [0.250, 0.034, 0.853], [0.250, 0.620, 0.102], [0.750, 0.380, 0.898], [0.250, 0.120, 0.398], [0.750, 0.466, 0.353], [0.750, 0.250, 0.604], [0.750, 0.750, 0.896], [0.250, 0.750, 0.396], [0.250, 0.250, 0.104]], "vol_a3_per_fu": 34, "polymorph_energy_ev_per_atom": 0.143, "delta_e_f_ev_per_atom": 0.4523, "dft_energy_ev_per_atom": -8.806, "n_ef_per_ev_cell": 5.8, "space_group": "Pnma (62)", "total_magnetization_mub_per_fu": 0.0}

=====

[3]
{"formula": "RuC2", "functional": "PBE-GGA", "state": "relaxed", "cell": [[1.413, 3.571, -0.001], [-1.413, 3.571, -0.001], [0.000, 0.186, 5.668]], "species": ["Ru", "Ru", "C", "C", "C", "C"], "frac_coords": [[0.964, 0.964, 0.370], [0.229, 0.229, 0.946], [0.420, 0.420, 0.664], [0.676, 0.676, 0.453], [0.927, 0.927, 0.033], [0.617, 0.617, 0.700]], "vol_a3_per_fu": 29, "polymorph_energy_ev_per_atom": 0.418, "delta_e_f_ev_per_atom": 1.0025, "dft_energy_ev_per_atom": -8.239, "n_ef_per_ev_cell": 0.9, "space_group": "Cm (8)", "total_magnetization_mub_per_fu": 0.0}

=====

[4]
{"formula": "Ru2C", "functional": "PBE-GGA", "state": "relaxed", "cell": [[2.968, 0.000, 0.000], [0.000, 2.968, 0.000], [0.000, 0.000, 4.039]], "species": ["C", "Ru", "Ru"], "frac_coords": [[0.000, 0.000, 0.000], [0.500, 0.500, 0.000], [0.000, 0.000, 0.500]], "vol_a3_per_fu": 36, "polymorph_energy_ev_per_atom": 0.295, "delta_e_f_ev_per_atom": 0.6043, "dft_energy_ev_per_atom": -8.654, "n_ef_per_ev_cell": 4.1, "space_group": "P4/mmm (123)", "total_magnetization_mub_per_fu": 0.0}

=====

[5]
{"formula": "RuC2", "functional": "PBE-GGA", "state": "relaxed", "cell": [[-1.314, -3.290, 2.425], [-3.514, 0.396, 2.434], [-3.579, -2.134, -1.033]], "species": ["C", "C", "C", "C", "Ru", "Ru"], "frac_coords": [[0.125, 0.125, 0.125], [0.125, 0.625, 0.125], [0.625, 0.125, 0.125], [0.125, 0.125, 0.625], [0.500, 0.500, 0.500], [0.750, 0.750, 0.750]], "vol_a3_per_fu": 28, "polymorph_energy_ev_per_atom": 2.297, "delta_e_f_ev_per_atom": 2.8818, "dft_energy_ev_per_atom": -6.359, "n_ef_per_ev_cell": 5.0, "space_group": "Fd-3m (227)", "total_magnetization_mub_per_fu": 0.4}

=====

[6]
{"formula": "Ru2C", "functional": "PBE-GGA", "state": "relaxed", "cell": [[-3.615, 1.418, 1.301], [2.294, -2.327, 2.467], [1.190, 2.171, 0.941]], "species": ["Ru", "Ru", "C"], "frac_coords": [[0.333, 0.667, 0.500], [0.667, 0.333, 0.500], [0.000, 0.000, 0.000]], "vol_a3_per_fu": 38, "polymorph_energy_ev_per_atom": 1.705, "delta_e_f_ev_per_atom": 2.0142, "dft_energy_ev_per_atom": -7.244, "n_ef_per_ev_cell": 3.8, "space_group": "P6/mmm (191)", "total_magnetization_mub_per_fu": 0.0}

=====

[7]
{"formula": "RuC5", "functional": "PBE-GGA", "state": "relaxed", "cell": [[1.710, -2.961, 0.000], [1.710, 2.961, 0.000], [0.000, 0.000, 6.778]], "species": ["C", "C", "C", "C", "C", "Ru"], "frac_coords": [[0.000, 0.500, 0.500], [0.500, 0.500, 0.500], [0.500, 0.000, 0.500], [0.667, 0.333, 0.000], [0.333, 0.667, 0.000], [0.000, 0.000, 0.000]], "vol_a3_per_fu": 69, "polymorph_energy_ev_per_atom": 1.907, "delta_e_f_ev_per_atom": 2.7651, "dft_energy_ev_per_atom": -6.467, "n_ef_per_ev_cell": 4.2, "space_group": "P6/mmm (191)", "total_magnetization_mub_per_fu": 0.4}

=====

[8]
{"formula": "Ru3C", "functional": "PBE-GGA", "state": "relaxed", "cell": [[-0.355, 3.778, 2.514], [-2.715, -0.648, 3.596], [3.558, -2.303, -1.661]], "species": ["Ru", "Ru", "Ru", "C"], "frac_coords": [[0.500, 0.500, 0.000], [0.750, 0.250, 0.500], [0.250, 0.750, 0.500], [0.000, 0.000, 0.000]], "vol_a3_per_fu": 49, "polymorph_energy_ev_per_atom": 0.919, "delta_e_f_ev_per_atom": 1.2454, "dft_energy_ev_per_atom": -8.017, "n_ef_per_ev_cell": 4.9, "space_group": "I4/mmm (139)", "total_magnetization_mub_per_fu": 0.0}

=====

[9]
{"formula": "Ru2C", "functional": "PBE-GGA", "state": "relaxed", "cell": [[-1.271, -1.824, 2.241], [2.773, 1.422, 0.506], [-2.041, 3.406, 1.614]], "species": ["C", "Ru", "Ru"], "frac_coords": [[0.000, 0.000, 0.000], [0.667, 0.333, 0.774], [0.333, 0.667, 0.226]], "vol_a3_per_fu": 37, "polymorph_energy_ev_per_atom": 0.216, "delta_e_f_ev_per_atom": 0.5255, "dft_energy_ev_per_atom": -8.733, "n_ef_per_ev_cell": 2.4, "space_group": "P-3m1 (164)", "total_magnetization_mub_per_fu": 0.0}

=====

[10]
{"formula": "RuC2", "functional": "PBE-GGA", "state": "relaxed", "cell": [[1.998, -3.461, 0.000], [1.998, 3.461, 0.000], [0.000, 0.000, 4.045]], "species": ["C", "C", "C", "C", "Ru", "Ru"], "frac_coords": [[0.667, 0.333, 0.750], [0.000, 0.000, 0.500], [0.333, 0.667, 0.250], [0.000, 0.000, 0.000], [0.333, 0.667, 0.750], [0.667, 0.333, 0.250]], "vol_a3_per_fu": 28, "polymorph_energy_ev_per_atom": 1.700, "delta_e_f_ev_per_atom": 2.2843, "dft_energy_ev_per_atom": -6.957, "n_ef_per_ev_cell": 3.9, "space_group": "P6_3/mmc (194)", "total_magnetization_mub_per_fu": 0.0}

=====

[11]
{"formula": "Ru2C", "functional": "PBE-GGA", "state": "relaxed", "cell": [[-4.587, 3.391, 4.521], [3.193, -5.592, -3.393], [2.699, -0.220, 2.902]], "species": ["Ru", "Ru", "Ru", "Ru", "C", "C"], "frac_coords": [[0.959, 0.041, 0.750], [0.298, 0.702, 0.750], [0.702, 0.298, 0.250], [0.041, 0.959, 0.250], [0.684, 0.316, 0.750], [0.316, 0.684, 0.250]], "vol_a3_per_fu": 40, "polymorph_energy_ev_per_atom": 0.705, "delta_e_f_ev_per_atom": 1.0147, "dft_energy_ev_per_atom": -8.244, "n_ef_per_ev_cell": 5.5, "space_group": "Cmcm (63)", "total_magnetization_mub_per_fu": 0.0}

=====

[12]
{"formula": "RuC2", "functional": "PBE-GGA", "state": "relaxed", "cell": [[-2.186, 1.852, 0.470], [1.580, -0.977, 2.231], [8.089, 9.903, -1.390]], "species": ["Ru", "Ru", "Ru", "C", "C", "C", "C", "C", "C"], "frac_coords": [[0.000, 0.000, 0.500], [0.333, 0.667, 0.851], [0.667, 0.333, 0.149], [0.000, 0.000, 0.946], [0.667, 0.333, 0.295], [0.333, 0.667, 0.603], [0.000, 0.000, 0.054], [0.333, 0.667, 0.705], [0.667, 0.333, 0.397]], "vol_a3_per_fu": 31, "polymorph_energy_ev_per_atom": 0.330, "delta_e_f_ev_per_atom": 0.9144, "dft_energy_ev_per_atom": -8.327, "n_ef_per_ev_cell": 7.7, "space_group": "P-3m1 (164)", "total_magnetization_mub_per_fu": 0.0}